[1]
Compound: Na2HCl
Source: the Alexandria database
Functional: PBE
Structure: relaxed

Space-group type: No. 63
E above lowest polymorph: 0.084 eV/atom
DFT total energy: -22.7 eV per cell
Magnetization: 0.00 μB per cell
Theoretical density: 1.7 g/cm3

a b c (Å): 3.6654 6.8789 7.2249
angles (deg): 118.43 90.00 90.00
Atoms (fractional coordinates):
Na 0.2500 0.4168 0.2493
Na 0.7500 0.5832 0.7507
Na 0.7500 0.1675 0.7507
Na 0.2500 0.8325 0.2493
H 0.7500 0.5967 0.1933
H 0.2500 0.4033 0.8067
Cl 0.2500 0.8385 0.6769
Cl 0.7500 0.1615 0.3231

***

[2]
Compound: NaH2Cl4
Source: the Alexandria database
Functional: PBE
Structure: relaxed

Space-group type: No. 66
DFT total energy: -40.2 eV per cell
Magnetization: 0.00 μB per cell
Theoretical density: 1.5 g/cm3

a b c (Å): 5.6801 5.6801 13.2459
angles (deg): 90.00 90.00 122.16
Atoms (fractional coordinates):
Na 0.5000 0.5000 0.2500
Na 0.5000 0.5000 0.7500
H 0.2524 0.9286 0.0000
H 0.7476 0.0714 0.0000
H 0.0714 0.7476 0.5000
H 0.9286 0.2524 0.5000
Cl 0.6537 0.8088 0.0000
Cl 0.3463 0.1912 0.0000
Cl 0.1912 0.3463 0.5000
Cl 0.8088 0.6537 0.5000
Cl 0.5000 0.0000 0.2554
Cl 0.0000 0.5000 0.2446
Cl 0.5000 0.0000 0.7446
Cl 0.0000 0.5000 0.7554

***

[3]
Compound: Na3H2Cl
Source: the Alexandria database
Functional: PBE
Structure: relaxed

Space-group type: No. 74
DFT total energy: -32.4 eV per cell
Magnetization: 0.00 μB per cell
Theoretical density: 1.6 g/cm3

a b c (Å): 7.2940 6.8834 6.8834
angles (deg): 53.26 58.01 58.01
Atoms (fractional coordinates):
Na 0.0000 0.7446 0.2554
Na 0.0000 0.2554 0.7446
Na 0.5000 0.7554 0.2446
Na 0.5000 0.0000 0.5000
Na 0.5000 0.5000 0.0000
Na 0.5000 0.2446 0.7554
H 0.2739 0.9234 0.9234
H 0.3793 0.4234 0.4234
H 0.6207 0.5766 0.5766
H 0.7261 0.0766 0.0766
Cl 0.1755 0.2500 0.2500
Cl 0.8245 0.7500 0.7500

***

[4]
Compound: Na2H2Cl
Source: the Alexandria database
Functional: PBE
Structure: relaxed

Space-group type: No. 12
E above lowest polymorph: 0.000 eV/atom
DFT total energy: -27.9 eV per cell
Magnetization: 0.00 μB per cell
Theoretical density: 1.5 g/cm3

a b c (Å): 4.2246 6.6405 6.7729
angles (deg): 96.65 108.17 90.00
Atoms (fractional coordinates):
Na 0.8802 0.1379 0.2608
Na 0.3802 0.6379 0.2608
Na 0.1198 0.8621 0.7392
Na 0.6198 0.3621 0.7392
H 0.8931 0.5000 0.5000
H 0.3931 0.0000 0.5000
H 0.1069 0.5000 0.5000
H 0.6069 0.0000 0.5000
Cl 0.7500 0.7500 0.0000
Cl 0.2500 0.2500 0.0000

***

[5]
Compound: Na2HCl
Source: the Alexandria database
Functional: PBE
Structure: relaxed

Space-group type: No. 160
E above lowest polymorph: 0.031 eV/atom
DFT total energy: -11.6 eV per cell
Magnetization: 0.00 μB per cell
Theoretical density: 1.8 g/cm3

a b c (Å): 3.7070 3.7070 6.7438
angles (deg): 74.05 74.05 60.00
Atoms (fractional coordinates):
Na 0.0733 0.0733 0.7802
Na 0.2595 0.2595 0.2215
H 0.6689 0.6689 0.9934
Cl 0.4984 0.4984 0.5049

***

[6]
Compound: NaH2Cl3
Source: the Alexandria database
Functional: PBE
Structure: relaxed

Space-group type: No. 15
E above lowest polymorph: 0.013 eV/atom
DFT total energy: -37.8 eV per cell
Magnetization: 0.00 μB per cell
Theoretical density: 1.5 g/cm3

a b c (Å): 8.1567 8.1567 8.0293
angles (deg): 47.27 47.27 55.61
Atoms (fractional coordinates):
Na 0.8552 0.1448 0.7500
Na 0.1448 0.8552 0.2500
H 0.2787 0.3487 0.5695
H 0.3487 0.2787 0.0695
H 0.6513 0.7213 0.9305
H 0.7213 0.6513 0.4305
Cl 0.5013 0.4987 0.2500
Cl 0.4987 0.5013 0.7500
Cl 0.9129 0.7374 0.1954
Cl 0.2626 0.0871 0.3046
Cl 0.7374 0.9129 0.6954
Cl 0.0871 0.2626 0.8046

***

Please write out number 2 again, unchanged.
Compound: NaH2Cl4
Source: the Alexandria database
Functional: PBE
Structure: relaxed

Space-group type: No. 66
DFT total energy: -40.2 eV per cell
Magnetization: 0.00 μB per cell
Theoretical density: 1.5 g/cm3

a b c (Å): 5.6801 5.6801 13.2459
angles (deg): 90.00 90.00 122.16
Atoms (fractional coordinates):
Na 0.5000 0.5000 0.2500
Na 0.5000 0.5000 0.7500
H 0.2524 0.9286 0.0000
H 0.7476 0.0714 0.0000
H 0.0714 0.7476 0.5000
H 0.9286 0.2524 0.5000
Cl 0.6537 0.8088 0.0000
Cl 0.3463 0.1912 0.0000
Cl 0.1912 0.3463 0.5000
Cl 0.8088 0.6537 0.5000
Cl 0.5000 0.0000 0.2554
Cl 0.0000 0.5000 0.2446
Cl 0.5000 0.0000 0.7446
Cl 0.0000 0.5000 0.7554